First-principles (PBE) data for an optimized crystal structure of Sm4InPbN, as listed in Alexandria via LeMat-Bulk.

It has space group Cmcm (No. 63), with a = 6.873 Å, b = 16.463 Å, c = 6.874 Å, α = 90.00°, β = 90.00° and γ = 90.00°. The asymmetric unit holds Sm at (0.000, 0.087, 0.250), Sm at (0.000, 0.410, 0.250), Sm at (0.250, 0.250, 0.000), In at (0.000, 0.111, 0.750), Pb at (0.000, 0.393, 0.750) and N at (0.000, 0.251, 0.250).

As for the total moment: 0.0 Bohr magnetons per cell. The value obtained for the raw formation energy is -0.753 eV/atom.

First-principles (PBE) data for an optimized crystal structure of Sr2InPbN, as listed in Alexandria via LeMat-Bulk.

It has space group P4/mmm (No. 123), with a = 5.317 Å, b = 5.317 Å, c = 4.667 Å, α = 90.00°, β = 90.00° and γ = 90.00°. The asymmetric unit holds Sr at (0.000, 0.500, 0.000), In at (0.000, 0.000, 0.500), Pb at (0.500, 0.500, 0.500) and N at (0.000, 0.000, 0.000).

As for the total moment: 0.0 Bohr magnetons per cell. The value obtained for the raw formation energy is -0.400 eV/atom.

First-principles (PBE) data for an optimized crystal structure of InTePbN2, as listed in Alexandria via LeMat-Bulk.

It has space group P4/mmm (No. 123), with a = 4.474 Å, b = 4.474 Å, c = 5.988 Å, α = 90.00°, β = 90.00° and γ = 90.00°. The asymmetric unit holds In at (0.000, 0.000, 0.000), Te at (0.000, 0.000, 0.500), Pb at (0.500, 0.500, 0.500) and N at (0.000, 0.500, 0.000).

For the excess energy over the best structure of this formula in the dataset, the calculation gives 0.000 eV/atom. As for the total moment: 3.0 Bohr magnetons per cell. The value obtained for the raw formation energy is 1.203 eV/atom.

First-principles (PBE) data for an optimized crystal structure of InTePbN2, as listed in Alexandria via LeMat-Bulk.

It has space group P4/mmm (No. 123), with a = 4.472 Å, b = 4.472 Å, c = 6.425 Å, α = 90.00°, β = 90.00° and γ = 90.00°. The asymmetric unit holds In at (0.000, 0.000, 0.000), Te at (0.500, 0.500, 0.000), Pb at (0.500, 0.500, 0.500) and N at (0.000, 0.500, 0.500).

For the excess energy over the best structure of this formula in the dataset, the calculation gives 0.216 eV/atom. As for the total moment: 2.5 Bohr magnetons per cell. The value obtained for the raw formation energy is 1.419 eV/atom.

First-principles (PBE) data for an optimized crystal structure of Zn2InPbN, as listed in Alexandria via LeMat-Bulk.

It has space group P4/mmm (No. 123), with a = 4.211 Å, b = 4.211 Å, c = 5.501 Å, α = 90.00°, β = 90.00° and γ = 90.00°. The asymmetric unit holds Zn at (0.000, 0.500, 0.000), In at (0.000, 0.000, 0.500), Pb at (0.500, 0.500, 0.500) and N at (0.000, 0.000, 0.000).

As for the total moment: 0.0 Bohr magnetons per cell. The value obtained for the raw formation energy is 0.427 eV/atom.

First-principles (PBE) data for an optimized crystal structure of InPdSN2, as listed in Alexandria via LeMat-Bulk.

It has space group P4/mmm (No. 123), with a = 4.011 Å, b = 4.011 Å, c = 5.148 Å, α = 90.00°, β = 90.00° and γ = 90.00°. The asymmetric unit holds In at (0.000, 0.000, 0.000), Pd at (0.500, 0.500, 0.500), S at (0.500, 0.500, 0.000) and N at (0.000, 0.500, 0.500).

For the excess energy over the best structure of this formula in the dataset, the calculation gives 0.000 eV/atom. As for the total moment: 3.0 Bohr magnetons per cell. The value obtained for the raw formation energy is 1.167 eV/atom.